(1)
Dy2PbO | PBE | relaxed

Cell: 3.1894 3.1894 7.8544 Å, 90.00 90.00 90.00°
Atoms (fractional coordinates):
Dy1 0.0000 0.0000 0.1960
Dy2 0.0000 0.0000 0.8040
Pb1 0.5000 0.5000 0.5000
O1 0.5000 0.5000 0.0000

Results
**Spin magnetization**: 0.00 μB/f.u.
**Total DFT energy (no corrections)**: -5.530 eV per atom
**SG**: P4/mmm (123)
**N(E_F)**: 2.6 states/eV per cell
**Relative energy among the computed polymorphs**: 726.5 meV/atom
**Uncorrected formation energy**: -410 kJ/mol of formula units



(2)
Dy3PbO7 | PBE | relaxed

Cell: 6.6391 6.6391 7.5994 Å, 90.00 90.00 111.07°
Atoms (fractional coordinates):
Dy1 0.0000 0.0000 0.0000
Dy2 0.0000 0.0000 0.5000
Dy3 0.0298 0.4926 0.7500
Dy4 0.4926 0.0298 0.2500
Dy5 0.5074 0.9702 0.7500
Dy6 0.9702 0.5074 0.2500
Pb1 0.5000 0.5000 0.0000
Pb2 0.5000 0.5000 0.5000
O1 0.1294 0.8706 0.7500
O2 0.1319 0.8681 0.2500
O3 0.1511 0.4028 0.0344
O4 0.1511 0.4028 0.4656
O5 0.4004 0.5996 0.7500
O6 0.4028 0.1511 0.5344
O7 0.4028 0.1511 0.9656
O8 0.5972 0.8489 0.0344
O9 0.5972 0.8489 0.4656
O10 0.5996 0.4004 0.2500
O11 0.8489 0.5972 0.5344
O12 0.8489 0.5972 0.9656
O13 0.8681 0.1319 0.7500
O14 0.8706 0.1294 0.2500

Results
**Spin magnetization**: 1.03 μB/f.u.
**Total DFT energy (no corrections)**: -7.370 eV per atom
**SG**: Cmcm (63)
**N(E_F)**: 5.7 states/eV per cell
**Uncorrected formation energy**: -2783 kJ/mol of formula units



(3)
Dy2PbO | PBE | relaxed

Cell: 7.9675 7.9675 7.9675 Å, 25.94 25.94 25.94°
Atoms (fractional coordinates):
Dy1 0.2224 0.2224 0.2224
Dy2 0.7776 0.7776 0.7776
Pb1 0.0000 0.0000 0.0000
O1 0.5000 0.5000 0.5000

Results
**Spin magnetization**: 0.00 μB/f.u.
**Total DFT energy (no corrections)**: -6.051 eV per atom
**SG**: R-3m (166)
**N(E_F)**: 1.5 states/eV per cell
**Relative energy among the computed polymorphs**: 205.1 meV/atom
**Uncorrected formation energy**: -611 kJ/mol of formula units



(4)
DyPbO2 | PBE | relaxed

Cell: 7.3752 7.3752 7.3752 Å, 27.41 27.41 27.41°
Atoms (fractional coordinates):
Dy1 0.0000 0.0000 0.0000
Pb1 0.5000 0.5000 0.5000
O1 0.3850 0.3850 0.3850
O2 0.6150 0.6150 0.6150

Results
**Spin magnetization**: 0.00 μB/f.u.
**Total DFT energy (no corrections)**: -6.973 eV per atom
**SG**: R-3m (166)
**N(E_F)**: 0.5 states/eV per cell
**Uncorrected formation energy**: -933 kJ/mol of formula units



(5)
Dy2PbO2 | PBE | relaxed

Cell: 7.5979 7.5979 7.5979 Å, 150.69 150.69 41.93°
Atoms (fractional coordinates):
Dy1 0.1708 0.1708 0.0000
Dy2 0.8292 0.8292 0.0000
Pb1 0.5000 0.5000 0.0000
O1 0.2500 0.7500 0.5000
O2 0.7500 0.2500 0.5000

Results
**Spin magnetization**: 0.00 μB/f.u.
**Total DFT energy (no corrections)**: -7.133 eV per atom
**SG**: I4/mmm (139)
**N(E_F)**: 2.0 states/eV per cell
**Uncorrected formation energy**: -1238 kJ/mol of formula units



(6)
Dy2PbO | PBE | relaxed

Cell: 4.5279 4.5279 8.8653 Å, 90.00 90.00 90.00°
Atoms (fractional coordinates):
Dy1 0.2500 0.2500 0.1702
Dy2 0.2500 0.7500 0.5000
Dy3 0.7500 0.2500 0.5000
Dy4 0.7500 0.7500 0.8298
Pb1 0.2500 0.2500 0.8026
Pb2 0.7500 0.7500 0.1974
O1 0.2500 0.2500 0.4278
O2 0.7500 0.7500 0.5722

Results
**Spin magnetization**: 0.00 μB/f.u.
**Total DFT energy (no corrections)**: -6.256 eV per atom
**SG**: P4/nmm (129)
**N(E_F)**: 2.8 states/eV per cell
**Relative energy among the computed polymorphs**: 0.0 meV/atom
**Uncorrected formation energy**: -690 kJ/mol of formula units